{
  "formula": "CuHg4Te",
  "functional": "PBE-GGA",
  "state": "relaxed",
  "lattice_angstrom": [[0.000, 4.262, 4.262], [4.262, 0.000, 4.262], [4.262, 4.262, 0.000]],
  "species": ["Cu", "Hg", "Hg", "Hg", "Hg", "Te"],
  "fractional_positions": [[0.000, 0.000, 0.000], [0.125, 0.625, 0.625], [0.625, 0.125, 0.625], [0.625, 0.625, 0.125], [0.625, 0.625, 0.625], [0.250, 0.250, 0.250]],
  "dft_energy_ev_per_atom": -0.942
}


{
  "formula": "Cu3HgTe3",
  "functional": "PBE-GGA",
  "state": "relaxed",
  "lattice_angstrom": [[3.538, 2.043, 8.057], [-3.538, 2.043, 8.057], [0.000, -4.086, 8.057]],
  "species": ["Cu", "Cu", "Cu", "Cu", "Cu", "Cu", "Hg", "Hg", "Te", "Te", "Te", "Te", "Te", "Te"],
  "fractional_positions": [[0.139, 0.478, 0.796], [0.204, 0.861, 0.522], [0.478, 0.796, 0.139], [0.522, 0.204, 0.861], [0.796, 0.139, 0.478], [0.861, 0.522, 0.204], [0.334, 0.334, 0.334], [0.666, 0.666, 0.666], [0.085, 0.761, 0.419], [0.239, 0.581, 0.915], [0.419, 0.085, 0.761], [0.581, 0.915, 0.239], [0.761, 0.419, 0.085], [0.915, 0.239, 0.581]],
  "dft_energy_ev_per_atom": -3.184
}


{
  "formula": "Cu3HgTe",
  "functional": "PBE-GGA",
  "state": "relaxed",
  "lattice_angstrom": [[4.853, 0.000, 0.000], [0.000, 4.853, 0.000], [0.000, 0.000, 4.853]],
  "species": ["Cu", "Cu", "Cu", "Hg", "Te"],
  "fractional_positions": [[0.000, 0.000, 0.500], [0.000, 0.500, 0.000], [0.500, 0.000, 0.000], [0.000, 0.000, 0.000], [0.500, 0.500, 0.500]],
  "polymorph_energy_mev_per_atom": 229
}


{
  "formula": "Cu3HgTe2",
  "functional": "PBE-GGA",
  "state": "relaxed",
  "lattice_angstrom": [[3.930, 0.000, 0.000], [-1.962, 7.712, 0.000], [-0.012, -2.917, 9.840]],
  "species": ["Cu", "Cu", "Cu", "Cu", "Cu", "Cu", "Hg", "Hg", "Te", "Te", "Te", "Te"],
  "fractional_positions": [[0.058, 0.118, 0.426], [0.315, 0.628, 0.533], [0.427, 0.853, 0.398], [0.573, 0.147, 0.602], [0.685, 0.372, 0.467], [0.942, 0.882, 0.574], [0.157, 0.313, 0.020], [0.843, 0.687, 0.980], [0.193, 0.386, 0.663], [0.464, 0.924, 0.745], [0.536, 0.076, 0.255], [0.807, 0.614, 0.337]],
  "dft_energy_ev_per_atom": -3.197
}


{
  "formula": "Cu2HgTe3",
  "functional": "PBE-GGA",
  "state": "relaxed",
  "lattice_angstrom": [[10.392, -2.185, 0.000], [10.392, 2.185, 0.000], [-1.977, 0.000, 7.373]],
  "species": ["Cu", "Cu", "Cu", "Cu", "Hg", "Hg", "Te", "Te", "Te", "Te", "Te", "Te"],
  "fractional_positions": [[0.054, 0.054, 0.451], [0.275, 0.275, 0.428], [0.725, 0.725, 0.572], [0.946, 0.946, 0.549], [0.358, 0.358, 0.218], [0.642, 0.642, 0.782], [0.058, 0.058, 0.807], [0.270, 0.270, 0.765], [0.398, 0.398, 0.664], [0.602, 0.602, 0.336], [0.730, 0.730, 0.235], [0.942, 0.942, 0.193]],
  "polymorph_energy_mev_per_atom": 82
}


{
  "formula": "CuHgTe",
  "functional": "PBE-GGA",
  "state": "relaxed",
  "lattice_angstrom": [[-1.609, 1.609, 6.754], [1.609, -1.609, 6.754], [1.609, 1.609, -6.754]],
  "species": ["Cu", "Hg", "Te"],
  "fractional_positions": [[0.000, 0.000, 0.000], [0.639, 0.639, 0.000], [0.373, 0.373, 0.000]],
  "polymorph_energy_mev_per_atom": 232
}


{
  "formula": "Cu3HgTe",
  "functional": "PBE-GGA",
  "state": "relaxed",
  "lattice_angstrom": [[4.962, 0.000, 0.000], [0.000, 4.962, 0.000], [0.000, 0.000, 4.962]],
  "species": ["Cu", "Cu", "Cu", "Hg", "Te"],
  "fractional_positions": [[0.000, 0.000, 0.500], [0.000, 0.500, 0.000], [0.500, 0.000, 0.000], [0.500, 0.500, 0.500], [0.000, 0.000, 0.000]],
  "polymorph_energy_mev_per_atom": 0
}


{
  "formula": "CuHgTe",
  "functional": "PBE-GGA",
  "state": "relaxed",
  "lattice_angstrom": [[0.000, 2.690, 6.571], [1.991, 0.000, 6.571], [1.991, 2.690, 0.000]],
  "species": ["Cu", "Hg", "Te"],
  "fractional_positions": [[0.000, 0.000, 0.000], [0.353, 0.353, 0.647], [0.631, 0.631, 0.369]],
  "polymorph_energy_mev_per_atom": 225
}


{
  "formula": "CuHgTe",
  "functional": "PBE-GGA",
  "state": "relaxed",
  "lattice_angstrom": [[4.220, 0.000, 0.000], [-2.110, 3.655, 0.000], [0.000, 0.000, 4.704]],
  "species": ["Cu", "Hg", "Te"],
  "fractional_positions": [[0.000, 0.000, 0.000], [0.667, 0.333, 0.334], [0.333, 0.667, 0.802]],
  "polymorph_energy_mev_per_atom": 67
}


{
  "formula": "Cu2Hg3Te4",
  "functional": "PBE-GGA",
  "state": "relaxed",
  "lattice_angstrom": [[7.806, -4.461, 0.000], [7.806, 4.461, 0.000], [-0.183, 0.000, 7.818]],
  "species": ["Cu", "Cu", "Cu", "Cu", "Hg", "Hg", "Hg", "Hg", "Hg", "Hg", "Te", "Te", "Te", "Te", "Te", "Te", "Te", "Te"],
  "fractional_positions": [[0.077, 0.353, 0.072], [0.353, 0.077, 0.572], [0.647, 0.923, 0.428], [0.923, 0.647, 0.928], [0.068, 0.932, 0.750], [0.251, 0.525, 0.434], [0.475, 0.749, 0.066], [0.525, 0.251, 0.934], [0.749, 0.475, 0.566], [0.932, 0.068, 0.250], [0.066, 0.256, 0.384], [0.231, 0.543, 0.070], [0.256, 0.066, 0.884], [0.457, 0.769, 0.430], [0.543, 0.231, 0.570], [0.744, 0.934, 0.116], [0.769, 0.457, 0.930], [0.934, 0.744, 0.616]],
  "dft_energy_ev_per_atom": -2.481
}


{
  "formula": "CuHgTe4",
  "functional": "PBE-GGA",
  "state": "relaxed",
  "lattice_angstrom": [[0.000, 4.516, 4.516], [4.516, 0.000, 4.516], [4.516, 4.516, 0.000]],
  "species": ["Cu", "Hg", "Te", "Te", "Te", "Te"],
  "fractional_positions": [[0.000, 0.000, 0.000], [0.750, 0.750, 0.750], [0.375, 0.375, 0.375], [0.375, 0.375, 0.875], [0.375, 0.875, 0.375], [0.875, 0.375, 0.375]],
  "dft_energy_ev_per_atom": -2.247
}


{
  "formula": "TiCuHgTe3",
  "functional": "PBE-GGA",
  "state": "relaxed",
  "lattice_angstrom": [[9.535, 0.000, 0.000], [0.000, 3.769, 0.000], [-4.630, 0.000, 9.669]],
  "species": ["Ti", "Ti", "Cu", "Cu", "Hg", "Hg", "Te", "Te", "Te", "Te", "Te", "Te"],
  "fractional_positions": [[0.037, 0.250, 0.317], [0.963, 0.750, 0.683], [0.024, 0.750, 0.097], [0.976, 0.250, 0.903], [0.480, 0.750, 0.761], [0.520, 0.250, 0.239], [0.142, 0.250, 0.613], [0.185, 0.750, 0.947], [0.253, 0.750, 0.343], [0.747, 0.250, 0.657], [0.815, 0.250, 0.053], [0.858, 0.750, 0.387]],
  "dft_energy_ev_per_atom": -3.992
}


{
  "formula": "Tl2CuHgTe",
  "functional": "PBE-GGA",
  "state": "relaxed",
  "lattice_angstrom": [[5.372, 0.000, 0.000], [0.000, 5.372, 0.000], [0.000, 0.000, 5.076]],
  "species": ["Tl", "Tl", "Cu", "Hg", "Te"],
  "fractional_positions": [[0.000, 0.500, 0.000], [0.500, 0.000, 0.000], [0.000, 0.000, 0.000], [0.000, 0.000, 0.500], [0.500, 0.500, 0.500]],
  "dft_energy_ev_per_atom": -2.404
}


{
  "formula": "TlCuHg2Te",
  "functional": "PBE-GGA",
  "state": "relaxed",
  "lattice_angstrom": [[5.229, 0.000, 0.000], [0.000, 5.229, 0.000], [0.000, 0.000, 5.339]],
  "species": ["Tl", "Cu", "Hg", "Hg", "Te"],
  "fractional_positions": [[0.000, 0.000, 0.000], [0.500, 0.500, 0.500], [0.000, 0.500, 0.500], [0.500, 0.000, 0.500], [0.500, 0.500, 0.000]],
  "dft_energy_ev_per_atom": -2.042
}


{
  "formula": "TlCuHgTe2",
  "functional": "PBE-GGA",
  "state": "relaxed",
  "lattice_angstrom": [[7.202, -2.293, 0.000], [7.202, 2.293, 0.000], [-6.454, 0.000, 9.209]],
  "species": ["Tl", "Tl", "Cu", "Cu", "Hg", "Hg", "Te", "Te", "Te", "Te"],
  "fractional_positions": [[0.150, 0.150, 0.135], [0.850, 0.850, 0.865], [0.162, 0.162, 0.812], [0.838, 0.838, 0.188], [0.393, 0.393, 0.601], [0.607, 0.607, 0.399], [0.181, 0.181, 0.596], [0.392, 0.392, 0.130], [0.608, 0.608, 0.870], [0.819, 0.819, 0.404]],
  "dft_energy_ev_per_atom": -2.733
}


{
  "formula": "VCu2HgTe",
  "functional": "PBE-GGA",
  "state": "relaxed",
  "lattice_angstrom": [[4.746, 0.000, 0.000], [0.000, 4.746, 0.000], [0.000, 0.000, 5.188]],
  "species": ["V", "Cu", "Cu", "Hg", "Te"],
  "fractional_positions": [[0.000, 0.000, 0.000], [0.000, 0.500, 0.000], [0.500, 0.000, 0.000], [0.000, 0.000, 0.500], [0.500, 0.500, 0.500]],
  "dft_energy_ev_per_atom": -3.078
}


{
  "formula": "YCuHgTe2",
  "functional": "PBE-GGA",
  "state": "relaxed",
  "lattice_angstrom": [[5.334, 0.000, 0.000], [0.000, 5.334, 0.000], [0.000, 0.000, 4.827]],
  "species": ["Y", "Cu", "Hg", "Te", "Te"],
  "fractional_positions": [[0.000, 0.000, 0.000], [0.500, 0.500, 0.500], [0.500, 0.500, 0.000], [0.000, 0.500, 0.500], [0.500, 0.000, 0.500]],
  "dft_energy_ev_per_atom": -3.633
}


{
  "formula": "Zr2CuHg2Te6",
  "functional": "PBE-GGA",
  "state": "relaxed",
  "lattice_angstrom": [[3.566, -6.374, 0.000], [3.566, 6.374, 0.000], [-2.571, 0.000, 7.965]],
  "species": ["Zr", "Zr", "Cu", "Hg", "Hg", "Te", "Te", "Te", "Te", "Te", "Te"],
  "fractional_positions": [[0.144, 0.856, 0.000], [0.856, 0.144, 0.000], [0.500, 0.500, 0.000], [0.175, 0.825, 0.500], [0.825, 0.175, 0.500], [0.143, 0.470, 0.820], [0.222, 0.222, 0.241], [0.470, 0.143, 0.820], [0.530, 0.857, 0.180], [0.778, 0.778, 0.759], [0.857, 0.530, 0.180]],
  "dft_energy_ev_per_atom": -4.092
}


{
  "formula": "Th4Cu2Hg",
  "functional": "PBE-GGA",
  "state": "relaxed",
  "lattice_angstrom": [[2.448, 1.414, 9.378], [-2.448, 1.414, 9.378], [0.000, -2.827, 9.378]],
  "species": ["Th", "Th", "Th", "Th", "Cu", "Cu", "Hg"],
  "fractional_positions": [[0.114, 0.114, 0.114], [0.301, 0.301, 0.301], [0.699, 0.699, 0.699], [0.886, 0.886, 0.886], [0.404, 0.404, 0.404], [0.596, 0.596, 0.596], [0.500, 0.500, 0.500]],
  "formation_enthalpy_0k_ev_per_atom": 0.14
}


{
  "formula": "Th4CuHg",
  "functional": "PBE-GGA",
  "state": "relaxed",
  "lattice_angstrom": [[7.566, 0.000, 0.000], [0.000, 7.566, 0.000], [0.000, 0.000, 5.816]],
  "species": ["Th", "Th", "Th", "Th", "Th", "Th", "Th", "Th", "Cu", "Cu", "Hg", "Hg"],
  "fractional_positions": [[0.147, 0.333, 0.000], [0.147, 0.667, 0.500], [0.333, 0.147, 0.500], [0.333, 0.853, 0.000], [0.667, 0.147, 0.000], [0.667, 0.853, 0.500], [0.853, 0.333, 0.500], [0.853, 0.667, 0.000], [0.000, 0.000, 0.250], [0.000, 0.000, 0.750], [0.500, 0.500, 0.250], [0.500, 0.500, 0.750]],
  "formation_enthalpy_0k_ev_per_atom": -0.10
}


{
  "formula": "ThCuHg2",
  "functional": "PBE-GGA",
  "state": "relaxed",
  "lattice_angstrom": [[5.047, 0.000, 0.000], [0.000, 4.851, 0.000], [-0.934, 0.000, 7.580]],
  "species": ["Th", "Th", "Cu", "Cu", "Hg", "Hg", "Hg", "Hg"],
  "fractional_positions": [[0.059, 0.250, 0.207], [0.941, 0.750, 0.793], [0.167, 0.250, 0.627], [0.833, 0.750, 0.373], [0.339, 0.750, 0.496], [0.463, 0.750, 0.100], [0.537, 0.250, 0.900], [0.661, 0.250, 0.504]],
  "formation_enthalpy_0k_ev_per_atom": -0.08
}


{
  "formula": "Th2Cu3Hg",
  "functional": "PBE-GGA",
  "state": "relaxed",
  "lattice_angstrom": [[-1.888, 2.122, 8.176], [1.888, -2.122, 8.176], [1.888, 2.122, -8.176]],
  "species": ["Th", "Th", "Cu", "Cu", "Cu", "Hg"],
  "fractional_positions": [[0.000, 0.000, 0.000], [0.784, 0.284, 0.500], [0.200, 0.700, 0.500], [0.349, 0.849, 0.500], [0.440, 0.440, 0.000], [0.606, 0.606, 0.000]],
  "polymorph_energy_mev_per_atom": 53,
  "formation_enthalpy_0k_ev_per_atom": -0.13
}


{
  "formula": "Th5CuHg4",
  "functional": "PBE-GGA",
  "state": "relaxed",
  "lattice_angstrom": [[3.452, 0.000, 0.000], [0.000, 3.452, 0.000], [0.000, 0.000, 22.273]],
  "species": ["Th", "Th", "Th", "Th", "Th", "Cu", "Hg", "Hg", "Hg", "Hg"],
  "fractional_positions": [[0.000, 0.000, 0.000], [0.000, 0.000, 0.207], [0.000, 0.000, 0.414], [0.000, 0.000, 0.586], [0.000, 0.000, 0.793], [0.500, 0.500, 0.500], [0.500, 0.500, 0.103], [0.500, 0.500, 0.309], [0.500, 0.500, 0.691], [0.500, 0.500, 0.897]],
  "formation_enthalpy_0k_ev_per_atom": -0.19
}


{
  "formula": "ThCu9Hg2",
  "functional": "PBE-GGA",
  "state": "relaxed",
  "lattice_angstrom": [[2.572, 1.485, 7.993], [-2.572, 1.485, 7.993], [0.000, -2.970, 7.993]],
  "species": ["Th", "Cu", "Cu", "Cu", "Cu", "Cu", "Cu", "Cu", "Cu", "Cu", "Hg", "Hg"],
  "fractional_positions": [[0.000, 0.000, 0.000], [0.081, 0.585, 0.585], [0.333, 0.333, 0.333], [0.415, 0.415, 0.919], [0.415, 0.919, 0.415], [0.500, 0.500, 0.500], [0.585, 0.081, 0.585], [0.585, 0.585, 0.081], [0.667, 0.667, 0.667], [0.919, 0.415, 0.415], [0.141, 0.141, 0.141], [0.859, 0.859, 0.859]],
  "formation_enthalpy_0k_ev_per_atom": -0.07
}


Respective calculated volume values: 155 175 114 149 167 70 122 70 73 272 184 174 146 146 152 117 137 362 195 166 93 131 265 183 Å³/f.u..
Respective magnetization values: 0.00 0.00 0.00 0.00 0.00 0.00 0.00 0.00 0.00 0.00 0.00 0.00 0.00 0.00 0.00 0.54 0.00 0.00 0.00 0.00 0.00 0.00 0.00 0.00 μB/atom.